Record 1
A plane-wave DFT calculation with PBE was carried out for a geometry-optimized TbLuIn2 structure.

a = 3.6514 Å, b = 3.6514 Å, c = 9.9170 Å
α = 79.39°, β = 79.39°, γ = 60.00°
Last column: nearest neighbours and their distance in Å.
Element x y z (fractional)
Lu: 0.0000 0.0000 0.0000  6 In 3.18
In: 0.2514 0.2514 0.2457  3 Lu 3.18, 3 Tb 3.24
In: 0.7486 0.7486 0.7543  3 Lu 3.18, 3 Tb 3.24
Tb: 0.5000 0.5000 0.5000  6 In 3.24

Calculated values
The formation energy comes out at -1.2 eV per formula unit. The calculation puts the density at 8.4 g/cm³. The value obtained for the density of states at the Fermi level is 0.60 states/eV/atom. The total magnetic moment comes out at 0.00 Bohr magnetons per cell.

---

Record 2
A plane-wave DFT calculation with PBE was carried out for a geometry-optimized Sm3ErSn2 structure.

a = 4.9272 Å, b = 8.8240 Å, c = 9.4518 Å
α = 117.83°, β = 105.11°, γ = 90.00°
Last column: nearest neighbours and their distance in Å.
Element x y z (fractional)
Sm: 0.1771 0.9271 0.3542  6 Sn 3.34-3.55, 2 Sm 3.39, 2 Er 3.59
Sm: 0.8229 0.0729 0.6458  6 Sn 3.34-3.55, 2 Sm 3.39, 2 Er 3.59
Sm: 0.5000 0.7500 0.0000  4 Sn 3.24, 4 Er 3.31
Sm: 0.1771 0.4271 0.3542  6 Sn 3.34-3.55, 2 Sm 3.39, 2 Er 3.59
Sm: 0.8229 0.5729 0.6458  6 Sn 3.34-3.55, 2 Sm 3.39, 2 Er 3.59
Sm: 0.5000 0.2500 0.0000  4 Sn 3.24, 4 Er 3.31
Er: 0.0000 0.0000 0.0000  8 Sm 3.31-3.59, 4 Sn 3.42
Er: 0.0000 0.5000 0.0000  8 Sm 3.31-3.59, 4 Sn 3.42
Sn: 0.3514 0.3515 0.7029  8 Sm 3.24-3.55, 2 Er 3.42
Sn: 0.6485 0.1485 0.2971  8 Sm 3.24-3.55, 2 Er 3.42
Sn: 0.6486 0.6485 0.2971  8 Sm 3.24-3.55, 2 Er 3.42
Sn: 0.3515 0.8515 0.7029  8 Sm 3.24-3.55, 2 Er 3.42

Calculated values
The formation energy comes out at -3.2 eV per formula unit. The calculation puts the density at 8.2 g/cm³. As for the excess energy over the best structure of this formula in the dataset: 46 meV per atom. The value obtained for the density of states at the Fermi level is 1.07 states/eV/atom. The total magnetic moment comes out at 0.00 Bohr magnetons per cell.

---

Record 3
A plane-wave DFT calculation with PBE was carried out for a geometry-optimized Er4GaCu2 structure.

a = 8.3171 Å, b = 7.4781 Å, c = 6.9834 Å
α = 105.26°, β = 109.72°, γ = 115.39°
Last column: nearest neighbours and their distance in Å.
Element x y z (fractional)
Er: 0.8445 0.7487 0.3402  3 Cu 2.79-2.91
Er: 0.0733 0.6205 0.7705  4 Cu 2.80-2.98, 2 Ga 2.99-3.03
Er: 0.2623 0.0647 0.3082  1 Cu 2.72, 2 Ga 2.91-2.93
Er: 0.8870 0.2356 0.2143  2 Cu 2.81-2.93, 1 Ga 3.07
Er: 0.3071 0.4865 0.1463  3 Cu 2.88-3.20, 2 Ga 2.92-3.20
Er: 0.6901 0.0723 0.5982  3 Cu 2.78-3.07, 2 Ga 2.97-3.09
Er: 0.5194 0.6249 0.7563  4 Cu 2.89-3.00, 2 Ga 3.07-3.09
Er: 0.4192 0.1585 0.8978  4 Cu 2.92-3.26, 1 Ga 3.00
Cu: 0.1134 0.2360 0.6390  8 Er 2.91-3.20, 1 Ga 3.02
Cu: 0.7895 0.4846 0.9196  5 Er 2.80-2.92, 1 Cu 2.86
Cu: 0.6435 0.4286 0.4601  4 Er 2.72-2.94, 1 Cu 2.86
Cu: 0.5002 0.8957 0.1192  6 Er 2.78-2.96
Ga: 0.2420 0.7386 0.4731  8 Er 2.92-3.16
Ga: 0.9585 0.9548 0.8572  7 Er 2.91-3.21, 2 Cu 3.02-3.25

Calculated values
The formation energy comes out at -1.8 eV per formula unit. The calculation puts the density at 8.9 g/cm³. As for the excess energy over the best structure of this formula in the dataset: 0 meV per atom. The value obtained for the density of states at the Fermi level is 0.78 states/eV/atom. The total magnetic moment comes out at 0.00 Bohr magnetons per cell.

---

Record 4
A plane-wave DFT calculation with PBE was carried out for a geometry-optimized BeCu3Bi structure.

a = 4.2723 Å, b = 4.2723 Å, c = 4.2723 Å
α = 90.00°, β = 90.00°, γ = 90.00°
Last column: nearest neighbours and their distance in Å.
Element x y z (fractional)
Cu: 0.5000 0.0000 0.0000  2 Be 2.14
Cu: 0.0000 0.0000 0.5000  2 Be 2.14
Cu: 0.0000 0.5000 0.0000  2 Be 2.14
Be: 0.0000 0.0000 0.0000  6 Cu 2.14
Bi: 0.5000 0.5000 0.5000  12 Cu 3.02

Calculated values
The formation energy comes out at 1.7 eV per formula unit. The calculation puts the density at 8.7 g/cm³. As for the excess energy over the best structure of this formula in the dataset: 0 meV per atom. The value obtained for the density of states at the Fermi level is 0.27 states/eV/atom. The total magnetic moment comes out at 0.00 Bohr magnetons per cell.

---

Record 5
A plane-wave DFT calculation with PBE was carried out for a geometry-optimized Ag2Se structure.

a = 8.9403 Å, b = 8.9403 Å, c = 8.9403 Å
α = 60.00°, β = 60.00°, γ = 60.00°
Last column: nearest neighbours and their distance in Å.
Element x y z (fractional)
Se: 0.2304 0.3089 0.7304  3 Ag 2.62
Se: 0.7696 0.2696 0.6911  3 Ag 2.62
Se: 0.7696 0.6911 0.2696  3 Ag 2.62
Se: 0.7696 0.2696 0.2696  3 Ag 2.62
Se: 0.1911 0.2696 0.2696  3 Ag 2.62
Se: 0.2304 0.7304 0.7304  3 Ag 2.62
Se: 0.8089 0.7304 0.7304  3 Ag 2.62
Se: 0.2304 0.7304 0.3089  3 Ag 2.62
Ag: 0.0000 0.5000 0.0000  6 Se 2.93
Ag: 0.1980 0.0520 0.0520  2 Se 2.62
Ag: 0.1980 0.0520 0.6980  2 Se 2.62
Ag: 0.5520 0.0520 0.6980  2 Se 2.62
Ag: 0.0000 0.5000 0.5000  6 Se 2.93
Ag: 0.5000 0.5000 0.5000  6 Se 2.93
Ag: 0.4480 0.9480 0.3020  2 Se 2.62
Ag: 0.0000 0.0000 0.5000  6 Se 2.93
Ag: 0.4480 0.3020 0.3020  2 Se 2.62
Ag: 0.8020 0.3020 0.9480  2 Se 2.62
Ag: 0.1980 0.6980 0.0520  2 Se 2.62
Ag: 0.5520 0.6980 0.6980  2 Se 2.62
Ag: 0.8020 0.9480 0.3020  2 Se 2.62
Ag: 0.8020 0.9480 0.9480  2 Se 2.62
Ag: 0.4480 0.3020 0.9480  2 Se 2.62
Ag: 0.5520 0.6980 0.0520  2 Se 2.62

Calculated values
The calculation puts the density at 7.7 g/cm³. The value obtained for the density of states at the Fermi level is 0.05 states/eV/atom. The total magnetic moment comes out at 0.00 Bohr magnetons per cell. Its formation energy from raw total energies is -12 kJ/mol of formula units.

---

Record 6
A plane-wave DFT calculation with PBE was carried out for a geometry-optimized CsRbTl2 structure.

a = 6.4315 Å, b = 6.4315 Å, c = 6.4315 Å
α = 60.00°, β = 60.00°, γ = 60.00°
Last column: nearest neighbours and their distance in Å.
Element x y z (fractional)
Tl: 0.7500 0.7500 0.7500  4 Cs 3.94, 4 Rb 3.94
Tl: 0.2500 0.2500 0.2500  4 Cs 3.94, 4 Rb 3.94
Cs: 0.5000 0.5000 0.5000  8 Tl 3.94
Rb: 0.0000 0.0000 0.0000  8 Tl 3.94

Calculated values
The formation energy comes out at 0.3 eV per formula unit. The calculation puts the density at 5.5 g/cm³. As for the excess energy over the best structure of this formula in the dataset: 141 meV per atom. The value obtained for the density of states at the Fermi level is 0.90 states/eV/atom. The total magnetic moment comes out at 0.00 Bohr magnetons per cell.

---

Record 7
A plane-wave DFT calculation with PBE was carried out for a geometry-optimized Cs2Be2Pb structure.

a = 10.6685 Å, b = 10.6685 Å, c = 3.4558 Å
α = 90.00°, β = 90.00°, γ = 90.00°
Last column: nearest neighbours and their distance in Å.
Element x y z (fractional)
Be: 0.5729 0.9271 0.5000  1 Be 2.20
Be: 0.9271 0.4271 0.5000  1 Be 2.20
Be: 0.4271 0.0729 0.5000  1 Be 2.20
Be: 0.0729 0.5729 0.5000  1 Be 2.20
Cs: 0.7011 0.2011 0.0000  2 Cs 3.46, 6 Be 3.66-3.82, 2 Pb 3.84
Cs: 0.2011 0.2989 0.0000  2 Cs 3.46, 6 Be 3.66-3.82, 2 Pb 3.84
Cs: 0.7989 0.7011 0.0000  2 Cs 3.46, 6 Be 3.66-3.82, 2 Pb 3.84
Cs: 0.2989 0.7989 0.0000  2 Cs 3.46, 6 Be 3.66-3.82, 2 Pb 3.84
Pb: 0.5000 0.5000 0.0000  2 Pb 3.46, 4 Cs 3.84
Pb: 0.0000 0.0000 0.0000  2 Pb 3.46, 4 Cs 3.84

Calculated values
The formation energy comes out at 5.1 eV per formula unit. The calculation puts the density at 4.1 g/cm³. As for the excess energy over the best structure of this formula in the dataset: 366 meV per atom. The value obtained for the density of states at the Fermi level is 0.62 states/eV/atom. The total magnetic moment comes out at 0.00 Bohr magnetons per cell.

---

Record 8
A plane-wave DFT calculation with PBE was carried out for a geometry-optimized AcTb2In structure.

a = 5.2832 Å, b = 5.2832 Å, c = 6.6237 Å
α = 66.50°, β = 66.50°, γ = 60.00°
Last column: nearest neighbours and their distance in Å.
Element x y z (fractional)
In: 0.6928 0.6928 0.9215  6 Tb 3.06-3.39
Tb: 0.2761 0.2761 0.1716  3 In 3.39, 3 Tb 3.51, 4 Ac 3.70-3.78
Tb: 0.0408 0.0408 0.8775  3 In 3.06
Ac: 0.4902 0.4902 0.5293  4 In 3.57-3.82, 7 Tb 3.67-3.78

Calculated values
The formation energy comes out at -0.1 eV per formula unit. The calculation puts the density at 7.7 g/cm³. As for the excess energy over the best structure of this formula in the dataset: 189 meV per atom. The value obtained for the density of states at the Fermi level is 1.36 states/eV/atom. The total magnetic moment comes out at 0.00 Bohr magnetons per cell.